Record 1
A relaxed LiFeW crystal. Source: the Alexandria database, functional GGA-PBEsol.

Calculated values
ΔE_f	0.4009	eV/atom
space-group type	No. 42
relative energy among the computed polymorphs	0.00	eV/f.u.

Cell: 2.5997 2.5997 6.7332 Å, 97.30 97.30 110.01°
Element x y z (fractional)
Fe (0.0040, 0.0040, 0.0080)
Li (0.3403, 0.3403, 0.6806)
W (0.6557, 0.6557, 0.3114)

---

Record 2
A relaxed LiFeW crystal. Source: the Alexandria database, functional GGA-PBEsol.

Calculated values
ΔE_f	1.4232	eV/atom
space-group type	No. 216
relative energy among the computed polymorphs	3.07	eV/f.u.

Cell: 3.7452 3.7452 3.7452 Å, 60.00 60.00 60.00°
Element x y z (fractional)
Fe (0.5000, 0.5000, 0.5000)
Li (0.2500, 0.2500, 0.2500)
W (0.0000, 0.0000, 0.0000)